(1)
{"formula": "LiCaZnF6", "functional": "GGA-PBE", "state": "relaxed", "magnetic_moment_mub_per_fu": 1.075, "e_tot_ev_per_cell": -81.171, "crystal_system": "tetragonal", "space_group": "P4_2nm (102)", "lattice": [[-0.7900, 0.8655, -4.7870], [1.1270, -4.6852, -1.0331], [-9.3214, -2.4825, 1.0894]], "species": ["Li", "Li", "Ca", "Ca", "Zn", "Zn", "F", "F", "F", "F", "F", "F", "F", "F", "F", "F", "F", "F"], "frac_coords": [[0.5000, 0.5000, 0.5024], [0.0000, 0.0000, 0.0024], [0.5000, 0.5000, 0.1692], [0.0000, 0.0000, 0.6692], [0.5000, 0.5000, 0.8328], [0.0000, 0.0000, 0.3328], [0.1977, 0.8023, 0.4812], [0.8023, 0.1977, 0.4812], [0.3023, 0.3023, 0.9812], [0.6977, 0.6977, 0.9812], [0.1786, 0.8214, 0.1726], [0.8214, 0.1786, 0.1726], [0.3214, 0.3214, 0.6726], [0.6786, 0.6786, 0.6726], [0.7857, 0.2143, 0.8440], [0.2143, 0.7857, 0.8440], [0.7143, 0.7143, 0.3440], [0.2857, 0.2857, 0.3440]]}

---

(2)
{"formula": "Li2CaZrF", "functional": "GGA-PBE", "state": "relaxed", "magnetic_moment_mub_per_fu": 2.067, "e_tot_ev_per_cell": -18.977, "crystal_system": "tetragonal", "space_group": "P4/mmm (123)", "lattice": [[4.8046, 0.0000, 0.0000], [0.0000, 4.6136, 0.0000], [0.0000, 0.0000, 4.8046]], "species": ["Ca", "Li", "Li", "Zr", "F"], "frac_coords": [[0.5000, 0.5000, 0.5000], [0.0000, 0.0000, 0.5000], [0.5000, 0.0000, 0.0000], [0.0000, 0.5000, 0.0000], [0.0000, 0.0000, 0.0000]]}

---

(3)
{"formula": "Ca2LuF", "functional": "GGA-PBE", "state": "relaxed", "magnetic_moment_mub_per_fu": 0.531, "e_tot_ev_per_cell": -14.304, "crystal_system": "trigonal", "space_group": "R-3m (166)", "lattice": [[3.5547, 0.0000, 0.0000], [1.7774, 3.0785, 0.0000], [1.7774, 1.0262, 9.8535]], "species": ["Ca", "Ca", "Lu", "F"], "frac_coords": [[0.1120, 0.1120, 0.6639], [0.8880, 0.8880, 0.3361], [0.0000, 0.0000, 0.0000], [0.5000, 0.5000, 0.5000]]}

---

(4)
{"formula": "Ca2MgF", "functional": "GGA-PBE", "state": "relaxed", "magnetic_moment_mub_per_fu": 0.000, "e_tot_ev_per_cell": -10.319, "de_polymorph_ev_per_atom": 0.600, "crystal_system": "cubic", "space_group": "Fm-3m (225)", "lattice": [[0.0000, 3.8377, 3.8377], [3.8377, 0.0000, 3.8377], [3.8377, 3.8377, 0.0000]], "species": ["Ca", "Ca", "Mg", "F"], "frac_coords": [[0.2500, 0.2500, 0.2500], [0.7500, 0.7500, 0.7500], [0.5000, 0.5000, 0.5000], [0.0000, 0.0000, 0.0000]]}

---

(5)
{"formula": "CaMgF3", "functional": "GGA-PBE", "state": "relaxed", "magnetic_moment_mub_per_fu": 0.000, "e_tot_ev_per_cell": -23.835, "de_polymorph_ev_per_atom": 0.000, "crystal_system": "cubic", "space_group": "Pm-3m (221)", "lattice": [[4.1347, 0.0000, 0.0000], [0.0000, 4.1347, 0.0000], [0.0000, 0.0000, 4.1347]], "species": ["Ca", "Mg", "F", "F", "F"], "frac_coords": [[0.5000, 0.5000, 0.5000], [0.0000, 0.0000, 0.0000], [0.0000, 0.5000, 0.0000], [0.0000, 0.0000, 0.5000], [0.5000, 0.0000, 0.0000]]}

---

(6)
{"formula": "CaMgF2", "functional": "GGA-PBE", "state": "relaxed", "magnetic_moment_mub_per_fu": 0.000, "e_tot_ev_per_cell": -18.204, "de_polymorph_ev_per_atom": 0.000, "crystal_system": "trigonal", "space_group": "R-3m (166)", "lattice": [[2.1539, 0.0000, 6.0396], [-1.0769, 1.8653, 6.0396], [-1.0769, -1.8653, 6.0396]], "species": ["Ca", "Mg", "F", "F"], "frac_coords": [[0.5000, 0.5000, 0.5000], [0.0000, 0.0000, 0.0000], [0.8811, 0.8811, 0.8811], [0.1189, 0.1189, 0.1189]]}

---

| no. | E_form (uncorrected) (eV/f.u.) |
| --- | --- |
| 1 | -24.2 |
| 2 | -2.7 |
| 3 | -3.9 |
| 4 | -2.9 |
| 5 | -14.6 |
| 6 | -10.9 |